VASP calculation (PBE) on a relaxed structure of BaAg4P.

Cell lengths 5.7413, 5.7413, 5.7413 Å; angles 60.00, 60.00, 60.00 degrees
With the nearest neighbours (Å) after each atom.
Fractional coordinates of all 6 atoms:
Ba  0.7500  0.7500  0.7500  12 Ag 3.37, 4 P 3.52
Ag  0.8760  0.3747  0.3747  6 Ag 2.86-2.88
Ag  0.3747  0.3747  0.8760  6 Ag 2.86-2.88
Ag  0.3747  0.8760  0.3747  6 Ag 2.86-2.88
Ag  0.3747  0.3747  0.3747  6 Ag 2.86-2.88
P  0.0000  0.0000  0.0000  12 Ag 3.37, 4 Ba 3.52

## Properties
energy of formation: -0.16 eV/f.u.
M_tot: 0.000 μB/f.u.
D(E_F): 0.26 states/eV per atom